DFT (PBE) results for a relaxed Rb2InReO crystal.

Structure (CIF):
```
data_Rb2InReO
_cell_length_a 7.0855
_cell_length_b 7.0855
_cell_length_c 3.7466
_cell_angle_alpha 90.00
_cell_angle_beta 90.00
_cell_angle_gamma 90.00
_space_group_name_H-M_alt 'P 1'
_space_group_IT_number 1
_space_group_name_Hall 'P 1'
loop_
_atom_site_label
_atom_site_type_symbol
_atom_site_fract_x
_atom_site_fract_y
_atom_site_fract_z
Rb1 Rb 0.0000 0.5000 0.0000
Rb2 Rb 0.5000 0.0000 0.0000
In1 In 0.0000 0.0000 0.5000
Re1 Re 0.5000 0.5000 0.0000
O1 O 0.5000 0.5000 0.5000
```

Values from the calculation:
SG: No. 123
Crystal system: tetragonal
Raw formation energy in eV per atom: 0.25

DFT (PBE) results for a relaxed Al2CdTcIr crystal.

Structure (CIF):
```
data_Al2CdTcIr
_cell_length_a 4.5853
_cell_length_b 4.5853
_cell_length_c 5.0411
_cell_angle_alpha 90.00
_cell_angle_beta 90.00
_cell_angle_gamma 90.00
_space_group_name_H-M_alt 'P 1'
_space_group_IT_number 1
_space_group_name_Hall 'P 1'
loop_
_atom_site_label
_atom_site_type_symbol
_atom_site_fract_x
_atom_site_fract_y
_atom_site_fract_z
Al1 Al 0.0000 0.5000 0.0000
Al2 Al 0.5000 0.0000 0.0000
Cd1 Cd 0.0000 0.0000 0.5000
Tc1 Tc 0.0000 0.0000 0.0000
Ir1 Ir 0.5000 0.5000 0.5000
```

Values from the calculation:
SG: No. 123
Crystal system: tetragonal
Calculated formation energy in eV per atom: 1.13

DFT (PBE) results for a relaxed Sm3GaPt2 crystal.

Structure (CIF):
```
data_Sm3GaPt2
_cell_length_a 11.9145
_cell_length_b 4.2532
_cell_length_c 11.6337
_cell_angle_alpha 90.00
_cell_angle_beta 90.00
_cell_angle_gamma 90.00
_space_group_name_H-M_alt 'P 1'
_space_group_IT_number 1
_space_group_name_Hall 'P 1'
loop_
_atom_site_label
_atom_site_type_symbol
_atom_site_fract_x
_atom_site_fract_y
_atom_site_fract_z
Sm1 Sm 0.0507 0.2500 0.1246
Sm2 Sm 0.1255 0.7500 0.5698
Sm3 Sm 0.2041 0.2500 0.8165
Sm4 Sm 0.2959 0.7500 0.3165
Sm5 Sm 0.3745 0.2500 0.0698
Sm6 Sm 0.4493 0.7500 0.6246
Sm7 Sm 0.5507 0.2500 0.3754
Sm8 Sm 0.6255 0.7500 0.9302
Sm9 Sm 0.7041 0.2500 0.6835
Sm10 Sm 0.7959 0.7500 0.1835
Sm11 Sm 0.8745 0.2500 0.4302
Sm12 Sm 0.9493 0.7500 0.8754
Ga1 Ga 0.1261 0.2500 0.3734
Ga2 Ga 0.3739 0.7500 0.8734
Ga3 Ga 0.6261 0.2500 0.1266
Ga4 Ga 0.8739 0.7500 0.6266
Pt1 Pt 0.0106 0.7500 0.3137
Pt2 Pt 0.1799 0.7500 0.9910
Pt3 Pt 0.3201 0.2500 0.4910
Pt4 Pt 0.4894 0.2500 0.8137
Pt5 Pt 0.5106 0.7500 0.1863
Pt6 Pt 0.6799 0.7500 0.5090
Pt7 Pt 0.8201 0.2500 0.0090
Pt8 Pt 0.9894 0.2500 0.6863
```

Values from the calculation:
SG: No. 62
Crystal system: orthorhombic
Calculated formation energy in eV per atom: -0.93

DFT (PBE) results for a relaxed CrAgRu crystal.

Structure (CIF):
```
data_CrAgRu
_cell_length_a 2.8605
_cell_length_b 2.8605
_cell_length_c 11.1003
_cell_angle_alpha 90.00
_cell_angle_beta 90.00
_cell_angle_gamma 90.00
_space_group_name_H-M_alt 'P 1'
_space_group_IT_number 1
_space_group_name_Hall 'P 1'
loop_
_atom_site_label
_atom_site_type_symbol
_atom_site_fract_x
_atom_site_fract_y
_atom_site_fract_z
Cr1 Cr 0.0000 0.0000 0.0000
Cr2 Cr 0.5000 0.5000 0.5000
Ag1 Ag 0.0000 0.0000 0.6827
Ag2 Ag 0.5000 0.5000 0.1827
Ru1 Ru 0.0000 0.0000 0.3752
Ru2 Ru 0.5000 0.5000 0.8752
```

Values from the calculation:
SG: No. 107
Crystal system: tetragonal
Distance to the lowest polymorph of the same formula in kJ per mole of atoms: 1.0
Calculated formation energy in eV per atom: 0.35

no.,energy (eV per cell),total magnetization (μB/cell)
1,-20.8,1.57
2,-22.0,1.23
3,-139.4,0.00
4,-41.4,3.00